# PBE+U AcDy2WO8, optimized geometry
# E (eV per cell): -188.5
# Crystal system: orthorhombic
# Density of states at the Fermi level (states/eV per cell): 8.6
data_AcDy2WO8
_chemical_formula_sum 'Ac2 Dy4 W2 O16'
_space_group_name_H-M_alt 'C m m m'
_space_group_IT_number 65
_space_group_name_Hall '-C 2 2'
_cell_length_a 7.121
_cell_length_b 7.173
_cell_length_c 7.187
_cell_angle_alpha 90.00
_cell_angle_beta 90.00
_cell_angle_gamma 90.00
loop_
_atom_site_label
_atom_site_type_symbol
_atom_site_fract_x
_atom_site_fract_y
_atom_site_fract_z
Ac1 Ac 0.000 0.000 0.000
Dy1 Dy 0.000 0.500 0.266
W1 W 0.000 0.000 0.500
O1 O 0.000 0.186 0.301
O2 O 0.171 0.500 0.000
O3 O 0.223 0.500 0.500